(1)
## La4CuPtI2 (GGA-PBE)

Data for a geometry-optimized La4CuPtI2 structure.

Output
Formation energy from raw total energies = -0.8796 eV per atom
SG = P2/m

a = 7.331 Å, b = 4.437 Å, c = 8.494 Å
α = 90.00°, β = 106.94°, γ = 90.00°
Positions (direct):
La  0.236  0.000  0.193
La  0.257  0.500  0.806
La  0.743  0.500  0.194
La  0.764  0.000  0.807
Cu  0.500  0.000  0.000
Pt  0.000  0.500  0.000
I  0.000  0.000  0.500
I  0.500  0.500  0.500

---

(2)
## LiLa3Ce2Se6 (GGA-PBE)

Data for a geometry-optimized LiLa3Ce2Se6 structure.

Output
Formation energy from raw total energies = -1.8373 eV per atom
SG = C2/m

a = 7.354 Å, b = 7.354 Å, c = 7.339 Å
α = 99.67°, β = 99.67°, γ = 120.10°
Positions (direct):
Li  0.000  0.000  0.000
La  0.168  0.832  0.500
La  0.500  0.500  0.500
La  0.832  0.168  0.500
Ce  0.334  0.666  0.000
Ce  0.666  0.334  0.000
Se  0.079  0.404  0.237
Se  0.245  0.245  0.762
Se  0.404  0.079  0.237
Se  0.596  0.921  0.763
Se  0.755  0.755  0.238
Se  0.921  0.596  0.763